[1]
A plane-wave DFT calculation with SCAN was carried out for a PBEsol-optimized structure of CdCuAg2.

Its electronic total energy is -216.35 eV per cell. The calculated density is 10.13 Mg/m³. The formation energy is 0.043 eV/atom. Its magnetization is 0.000 Bohr magnetons per cell.

The space group is I4/mmm (No. 139) and the conventional cell measures 4.014, 4.014 and 7.970 Å, with angles of 90.00, 90.00 and 90.00 degrees. The inequivalent atoms are Cd at (0.000, 0.000, 0.000), Cu at (0.000, 0.000, 0.500) and Ag at (0.000, 0.500, 0.250).

[2]
A plane-wave DFT calculation with SCAN was carried out for a PBEsol-optimized structure of CdCuAg2.

Its electronic total energy is -108.15 eV per cell. The calculated density is 10.11 Mg/m³. The formation energy is 0.050 eV/atom. Its magnetization is 0.000 Bohr magnetons per cell.

The space group is Pmm2 (No. 25) and the conventional cell measures 2.914, 3.866 and 5.711 Å, with angles of 90.00, 90.00 and 90.00 degrees. The inequivalent atoms are Cd at (0.000, 0.000, 0.000), Cu at (0.500, 0.500, 0.248), Ag at (0.000, 0.000, 0.478) and Ag at (0.500, 0.500, 0.734).

[3]
A plane-wave DFT calculation with SCAN was carried out for a PBEsol-optimized structure of Sr2CdCuAg.

Its electronic total energy is -121.48 eV per cell. The calculated density is 4.92 Mg/m³. The formation energy is 0.011 eV/atom. Its magnetization is 0.000 Bohr magnetons per cell.

The space group is P4/mmm (No. 123) and the conventional cell measures 5.646, 5.646 and 4.857 Å, with angles of 90.00, 90.00 and 90.00 degrees. The inequivalent atoms are Sr at (0.000, 0.500, 0.000), Cd at (0.000, 0.000, 0.500), Cu at (0.000, 0.000, 0.000) and Ag at (0.500, 0.500, 0.500).

[4]
A plane-wave DFT calculation with SCAN was carried out for a PBEsol-optimized structure of EuCdAg2.

Its electronic total energy is -590.92 eV per cell. The calculated density is 9.21 Mg/m³. The formation energy is -0.217 eV/atom. Its magnetization is 28.811 Bohr magnetons per cell.

The space group is Fm-3m (No. 225) and the conventional cell measures 7.021, 7.021 and 7.021 Å, with angles of 90.00, 90.00 and 90.00 degrees. The inequivalent atoms are Eu at (0.000, 0.000, 0.000), Cd at (0.000, 0.000, 0.500) and Ag at (0.250, 0.250, 0.250).